VASP calculation (PBE) on crystalline Sr2BiBr at its relaxed geometry.

Properties
Electronic total energy ... -3.60 eV per atom

a = 6.664 Å, b = 6.664 Å, c = 13.764 Å
α = 90.00°, β = 90.00°, γ = 90.00°
Fractional coordinates of all 16 atoms:
Sr  0.000  0.250  0.115
Sr  0.000  0.250  0.635
Sr  0.000  0.750  0.365
Sr  0.000  0.750  0.885
Sr  0.500  0.250  0.385
Sr  0.500  0.250  0.865
Sr  0.500  0.750  0.135
Sr  0.500  0.750  0.615
Bi  0.000  0.250  0.875
Bi  0.000  0.750  0.125
Bi  0.500  0.250  0.625
Bi  0.500  0.750  0.375
Br  0.000  0.250  0.375
Br  0.000  0.750  0.625
Br  0.500  0.250  0.125
Br  0.500  0.750  0.875

VASP calculation (PBE) on crystalline MgAlTl2 at its relaxed geometry.

Properties
Energy above the most stable polymorph in this dataset ... 0.053 eV per atom
Formation enthalpy at 0 K ... 0.14 eV/atom

a = 6.718 Å, b = 8.337 Å, c = 3.513 Å
α = 90.00°, β = 93.30°, γ = 90.00°
Fractional coordinates of all 8 atoms:
Mg  0.000  0.000  0.000
Mg  0.500  0.500  0.000
Al  0.000  0.500  0.000
Al  0.500  0.000  0.000
Tl  0.250  0.250  0.500
Tl  0.250  0.750  0.500
Tl  0.750  0.250  0.500
Tl  0.750  0.750  0.500

VASP calculation (PBE) on crystalline BaCaRu2 at its relaxed geometry.

Properties
Energy above the most stable polymorph in this dataset ... 0.176 eV per atom
Formation enthalpy at 0 K ... 0.34 eV/atom

a = 4.090 Å, b = 4.927 Å, c = 11.610 Å
α = 90.00°, β = 90.00°, γ = 90.00°
Fractional coordinates of all 8 atoms:
Ba  0.000  0.000  0.000
Ba  0.500  0.500  0.500
Ca  0.000  0.500  0.763
Ca  0.500  0.000  0.263
Ru  0.000  0.000  0.621
Ru  0.000  0.500  0.217
Ru  0.500  0.000  0.717
Ru  0.500  0.500  0.121

VASP calculation (PBE) on crystalline ScIn3Tc at its relaxed geometry.

Properties
Energy above the most stable polymorph in this dataset ... 0.000 eV per atom
Formation enthalpy at 0 K ... 0.39 eV/atom

a = 5.123 Å, b = 5.123 Å, c = 5.123 Å
α = 90.00°, β = 90.00°, γ = 90.00°
Fractional coordinates of all 5 atoms:
Sc  0.000  0.000  0.000
In  0.000  0.500  0.500
In  0.500  0.000  0.500
In  0.500  0.500  0.000
Tc  0.500  0.500  0.500

VASP calculation (PBE) on crystalline K8Rb3P at its relaxed geometry.

Properties
Formation enthalpy at 0 K ... -0.04 eV/atom

a = 14.221 Å, b = 14.221 Å, c = 9.430 Å
α = 90.00°, β = 90.00°, γ = 120.00°
Fractional coordinates of all 24 atoms:
K  0.000  0.000  0.001
K  0.000  0.000  0.501
K  0.072  0.536  0.000
K  0.231  0.462  0.289
K  0.231  0.769  0.289
K  0.333  0.667  0.729
K  0.462  0.231  0.789
K  0.464  0.536  0.000
K  0.464  0.928  0.000
K  0.536  0.072  0.500
K  0.536  0.464  0.500
K  0.538  0.769  0.289
K  0.667  0.333  0.229
K  0.769  0.231  0.789
K  0.769  0.538  0.789
K  0.928  0.464  0.500
Rb  0.153  0.306  0.751
Rb  0.153  0.847  0.751
Rb  0.306  0.153  0.251
Rb  0.694  0.847  0.751
Rb  0.847  0.153  0.251
Rb  0.847  0.694  0.251
P  0.333  0.667  0.071
P  0.667  0.333  0.571

VASP calculation (PBE) on crystalline PmAl4Pd2Rh at its relaxed geometry.

Properties
Formation enthalpy at 0 K ... -0.81 eV/atom

a = 9.278 Å, b = 9.278 Å, c = 9.278 Å
α = 26.57°, β = 26.57°, γ = 26.57°
Fractional coordinates of all 8 atoms:
Pm  0.000  0.000  0.000
Al  0.134  0.134  0.134
Al  0.405  0.405  0.405
Al  0.595  0.595  0.595
Al  0.866  0.866  0.866
Pd  0.233  0.233  0.233
Pd  0.767  0.767  0.767
Rh  0.500  0.500  0.500